[1]
{
  "formula": "Rb2PaI5",
  "functional": "PBE-GGA",
  "state": "relaxed",
  "cell": [[11.277, 0.000, 0.000], [0.000, 14.578, 0.000], [0.000, 0.000, 4.589]],
  "species": ["Rb", "Rb", "Rb", "Rb", "Pa", "Pa", "I", "I", "I", "I", "I", "I", "I", "I", "I", "I"],
  "frac_coords": [[0.099, 0.168, 0.000], [0.401, 0.668, 0.000], [0.599, 0.332, 0.000], [0.901, 0.832, 0.000], [0.000, 0.500, 0.500], [0.500, 0.000, 0.500], [0.000, 0.000, 0.500], [0.122, 0.691, 0.500], [0.172, 0.432, 0.000], [0.328, 0.932, 0.000], [0.378, 0.191, 0.500], [0.500, 0.500, 0.500], [0.622, 0.809, 0.500], [0.672, 0.068, 0.000], [0.828, 0.568, 0.000], [0.878, 0.309, 0.500]],
  "energy_ev_per_atom": -3.5389,
  "vol_a3_per_cell": 754,
  "dos_at_fermi_per_ev_cell": 9.66
}



[2]
{
  "formula": "Rb3PaI7",
  "functional": "PBE-GGA",
  "state": "relaxed",
  "cell": [[6.355, -5.806, 0.000], [6.355, 5.806, 0.000], [-5.638, 0.000, 7.704]],
  "species": ["Rb", "Rb", "Rb", "Pa", "I", "I", "I", "I", "I", "I", "I"],
  "frac_coords": [[0.000, 0.000, 0.000], [0.287, 0.734, 0.592], [0.734, 0.287, 0.592], [0.558, 0.558, 0.145], [0.198, 0.532, 0.839], [0.370, 0.370, 0.248], [0.377, 0.878, 0.308], [0.532, 0.198, 0.839], [0.705, 0.705, 0.979], [0.859, 0.859, 0.519], [0.878, 0.377, 0.308]],
  "energy_ev_per_atom": -3.3369,
  "vol_a3_per_cell": 568,
  "dos_at_fermi_per_ev_cell": 1.09
}



[3]
{
  "formula": "RbPaI4",
  "functional": "PBE-GGA",
  "state": "relaxed",
  "cell": [[5.552, -9.133, 0.000], [5.552, 9.133, 0.000], [-2.444, 0.000, 7.085]],
  "species": ["Rb", "Rb", "Pa", "Pa", "I", "I", "I", "I", "I", "I", "I", "I"],
  "frac_coords": [[0.249, 0.751, 0.750], [0.751, 0.249, 0.250], [0.054, 0.946, 0.250], [0.946, 0.054, 0.750], [0.007, 0.358, 0.705], [0.110, 0.243, 0.174], [0.243, 0.110, 0.674], [0.358, 0.007, 0.205], [0.642, 0.993, 0.795], [0.757, 0.890, 0.326], [0.890, 0.757, 0.826], [0.993, 0.642, 0.295]],
  "energy_ev_per_atom": -3.8320,
  "vol_a3_per_cell": 719,
  "dos_at_fermi_per_ev_cell": 1.21
}



[4]
{
  "formula": "Rb3PaI8",
  "functional": "PBE-GGA",
  "state": "relaxed",
  "cell": [[8.374, 0.000, 0.000], [0.000, 8.374, 0.000], [0.000, 0.000, 8.374]],
  "species": ["Rb", "Rb", "Rb", "Pa", "I", "I", "I", "I", "I", "I", "I", "I"],
  "frac_coords": [[0.000, 0.000, 0.500], [0.000, 0.500, 0.000], [0.500, 0.000, 0.000], [0.500, 0.500, 0.500], [0.280, 0.280, 0.280], [0.280, 0.280, 0.720], [0.280, 0.720, 0.280], [0.280, 0.720, 0.720], [0.720, 0.280, 0.280], [0.720, 0.280, 0.720], [0.720, 0.720, 0.280], [0.720, 0.720, 0.720]],
  "energy_ev_per_atom": -3.1613,
  "vol_a3_per_cell": 587,
  "dos_at_fermi_per_ev_cell": 0.74
}



[5]
{
  "formula": "RbPaI2",
  "functional": "PBE-GGA",
  "state": "relaxed",
  "cell": [[3.877, 0.000, 0.000], [0.000, 3.877, 0.000], [0.000, 0.000, 8.998]],
  "species": ["Rb", "Pa", "I", "I"],
  "frac_coords": [[0.000, 0.000, 0.000], [0.000, 0.000, 0.500], [0.500, 0.500, 0.293], [0.500, 0.500, 0.707]],
  "vol_a3_per_cell": 135,
  "dos_at_fermi_per_ev_cell": 7.73,
  "e_above_lowest_polymorph_ev_per_atom": 0.051
}



[6]
{
  "formula": "RbPaS3I",
  "functional": "PBE-GGA",
  "state": "relaxed",
  "cell": [[3.923, -8.651, 0.000], [3.923, 8.651, 0.000], [-3.859, 0.000, 5.604]],
  "species": ["Rb", "Rb", "Pa", "Pa", "S", "S", "S", "S", "S", "S", "I", "I"],
  "frac_coords": [[0.042, 0.958, 0.750], [0.958, 0.042, 0.250], [0.312, 0.688, 0.250], [0.688, 0.312, 0.750], [0.095, 0.702, 0.948], [0.298, 0.905, 0.552], [0.458, 0.542, 0.250], [0.542, 0.458, 0.750], [0.702, 0.095, 0.448], [0.905, 0.298, 0.052], [0.367, 0.633, 0.750], [0.633, 0.367, 0.250]],
  "energy_ev_per_atom": -5.1339,
  "vol_a3_per_cell": 380,
  "dos_at_fermi_per_ev_cell": 6.61
}